[1]
Compound: SiSb2P
Source: Alexandria via LeMat-Bulk
Functional: GGA-PBE
Structure: optimized geometry

a b c (Å): 4.9266 4.9266 4.9266
angles (deg): 60.00 60.00 60.00
Closest atoms and distances in Å follow each position.
Atoms (fractional coordinates):
Si1 0.0000 0.0000 0.0000  4 Sb 3.02, 4 P 3.02
Sb1 0.2500 0.2500 0.2500  4 Sb 3.02, 4 Si 3.02
Sb2 0.5000 0.5000 0.5000  4 Sb 3.02, 4 P 3.02
P1 0.7500 0.7500 0.7500  4 Sb 3.02, 4 Si 3.02

* formation energy (no corrections): 631.2 meV/atom
* relative energy among the computed polymorphs: 12.91 kcal/mol of atoms
* crystal system: cubic


[2]
Compound: CeSmLuAl
Source: Alexandria via LeMat-Bulk
Functional: GGA-PBE
Structure: optimized geometry

a b c (Å): 5.3467 5.3467 5.3467
angles (deg): 60.00 60.00 60.00
Closest atoms and distances in Å follow each position.
Atoms (fractional coordinates):
Ce1 0.0000 0.0000 0.0000  4 Al 3.27, 4 Lu 3.27
Sm1 0.5000 0.5000 0.5000  4 Al 3.27, 4 Lu 3.27
Lu1 0.2500 0.2500 0.2500  4 Ce 3.27, 4 Sm 3.27
Al1 0.7500 0.7500 0.7500  4 Sm 3.27, 4 Ce 3.27

* formation energy: -0.042 eV per atom
* crystal system: cubic


[3]
Compound: CeErSb2
Source: Alexandria via LeMat-Bulk
Functional: GGA-PBE
Structure: optimized geometry

a b c (Å): 7.6576 7.6576 7.6576
angles (deg): 33.62 33.62 33.62
Closest atoms and distances in Å follow each position.
Atoms (fractional coordinates):
Ce1 0.0000 0.0000 0.0000  6 Sb 3.17
Er1 0.5000 0.5000 0.5000  6 Sb 3.09
Sb1 0.2471 0.2471 0.2471  3 Er 3.09, 3 Ce 3.17
Sb2 0.7529 0.7529 0.7529  3 Er 3.09, 3 Ce 3.17

* formation energy (no corrections): -1069.4 meV/atom
* relative energy among the computed polymorphs: 0.00 kcal/mol of atoms
* crystal system: trigonal


[4]
Compound: ZnFe4S8
Source: Alexandria via LeMat-Bulk
Functional: GGA-PBE
Structure: optimized geometry

a b c (Å): 6.7391 6.7391 6.7391
angles (deg): 60.60 60.60 60.60
Closest atoms and distances in Å follow each position.
Atoms (fractional coordinates):
Zn1 0.0000 0.0000 0.0000  6 S 2.47
Fe1 0.0000 0.5000 0.5000  6 S 2.29-2.31
Fe2 0.5000 0.0000 0.5000  6 S 2.29-2.31
Fe3 0.5000 0.5000 0.0000  6 S 2.29-2.31
Fe4 0.5000 0.5000 0.5000  6 S 2.33
S1 0.2573 0.2573 0.7204  3 Fe 2.29-2.33, 1 Zn 2.47
S2 0.2573 0.7204 0.2573  3 Fe 2.29-2.33, 1 Zn 2.47
S3 0.2593 0.2593 0.2593  3 Fe 2.31
S4 0.2796 0.7427 0.7427  3 Fe 2.29-2.33, 1 Zn 2.47
S5 0.7204 0.2573 0.2573  3 Fe 2.29-2.33, 1 Zn 2.47
S6 0.7407 0.7407 0.7407  3 Fe 2.31
S7 0.7427 0.2796 0.7427  3 Fe 2.29-2.33, 1 Zn 2.47
S8 0.7427 0.7427 0.2796  3 Fe 2.29-2.33, 1 Zn 2.47

* formation energy (no corrections): -278.7 meV/atom
* relative energy among the computed polymorphs: 1.06 kcal/mol of atoms
* crystal system: trigonal


[5]
Compound: Mg2BeFe
Source: Alexandria via LeMat-Bulk
Functional: GGA-PBE
Structure: optimized geometry

a b c (Å): 5.2479 5.2479 4.4788
angles (deg): 115.18 115.18 31.98
Closest atoms and distances in Å follow each position.
Atoms (fractional coordinates):
Mg1 0.0000 0.0000 0.0000  4 Be 2.70, 2 Fe 2.79, 6 Mg 2.89-2.99
Mg2 0.2110 0.2110 0.7099  4 Fe 2.71, 2 Be 2.76, 6 Mg 2.89-2.99
Be1 0.4512 0.4512 0.4513  2 Fe 2.22
Fe1 0.7643 0.7643 0.2631  2 Be 2.22

* formation energy: 0.235 eV per atom
* crystal system: monoclinic


[6]
Compound: InTc
Source: Alexandria via LeMat-Bulk
Functional: GGA-PBE
Structure: optimized geometry

a b c (Å): 4.9321 4.9321 4.9321
angles (deg): 129.32 129.32 74.49
Closest atoms and distances in Å follow each position.
Atoms (fractional coordinates):
In1 0.3750 0.6250 0.7500  8 Tc 2.88-2.99, 4 In 2.88
In2 0.6250 0.3750 0.2500  8 Tc 2.88-2.99, 4 In 2.88
Tc1 0.1250 0.8750 0.2500  4 Tc 2.88, 8 In 2.88-2.99
Tc2 0.8750 0.1250 0.7500  8 In 2.88-2.99, 4 Tc 2.88

* formation energy: 0.431 eV per atom
* crystal system: tetragonal


[7]
Compound: Ta3Nb4
Source: Alexandria via LeMat-Bulk
Functional: GGA-PBE
Structure: optimized geometry

a b c (Å): 7.5780 7.5780 7.4383
angles (deg): 119.09 119.09 20.75
Closest atoms and distances in Å follow each position.
Atoms (fractional coordinates):
Ta1 0.0000 0.0000 0.0000  4 Ta 2.73-2.89, 2 Nb 2.85
Ta2 0.2187 0.2187 0.1424  5 Ta 2.73-3.03, 2 Nb 2.86-2.89
Ta3 0.7813 0.7813 0.8576  5 Ta 2.73-3.03, 2 Nb 2.86-2.89
Nb1 0.0727 0.0727 0.7099  3 Nb 2.73-2.79, 2 Ta 2.85-2.86
Nb2 0.3590 0.3590 0.5833  2 Nb 2.73, 1 Ta 2.89
Nb3 0.6410 0.6410 0.4167  2 Nb 2.73, 1 Ta 2.89
Nb4 0.9273 0.9273 0.2901  3 Nb 2.73-2.79, 2 Ta 2.85-2.86

* formation energy: 0.229 eV per atom
* relative energy among the computed polymorphs: 0.00 kcal/mol of atoms
* crystal system: monoclinic


[8]
Compound: TbNdY2P4
Source: Alexandria via LeMat-Bulk
Functional: GGA-PBE
Structure: optimized geometry

a b c (Å): 7.0243 4.0592 7.0264
angles (deg): 90.00 109.47 90.00
Closest atoms and distances in Å follow each position.
Atoms (fractional coordinates):
Tb1 0.0000 0.0000 0.0000  6 P 2.87
Nd1 0.0000 0.5000 0.5000  6 P 2.90
Y1 0.5000 0.0000 0.5000  6 P 2.87
Y2 0.5000 0.5000 0.0000  6 P 2.83
P1 0.2533 0.5000 0.2474  3 Y 2.83-2.87, 2 Tb 2.87, 1 Nd 2.90
P2 0.2563 0.0000 0.7558  3 Y 2.83-2.87, 1 Tb 2.87, 2 Nd 2.90
P3 0.7437 0.0000 0.2442  3 Y 2.83-2.87, 1 Tb 2.87, 2 Nd 2.90
P4 0.7467 0.5000 0.7526  3 Y 2.83-2.87, 2 Tb 2.87, 1 Nd 2.90

* formation energy: -1.596 eV per atom
* crystal system: monoclinic